The following is a GGA-PBE calculation of a geometry-optimized ZrAs2PdSe structure, from Alexandria via LeMat-Bulk.

Geometry as POSCAR:
```
ZrAs2PdSe
1.0
5.180 0.000 0.000
0.000 5.180 0.000
0.000 0.000 5.109
As Se Zr Pd
2 1 1 1
direct
0.000 0.500 0.000
0.500 0.000 0.000
0.000 0.000 0.500
0.000 0.000 0.000
0.500 0.500 0.500
```

Summary:
E_form (uncorrected) = 0.337 eV/atom
symmetry = P4/mmm
density = 5.2 Mg/m³



The following is a GGA-PBE calculation of a geometry-optimized GaTeI2O structure, from Alexandria via LeMat-Bulk.

Geometry as POSCAR:
```
GaTeI2O
1.0
-0.678 5.198 1.064
0.545 -0.999 5.227
4.564 0.667 -0.349
I Te O Ga
2 1 1 1
direct
0.000 0.500 0.000
0.500 0.000 0.000
0.000 0.000 0.500
0.000 0.000 0.000
0.500 0.500 0.500
```

Summary:
E_form (uncorrected) = 0.157 eV/atom
symmetry = P4/mmm
density = 5.9 Mg/m³



The following is a GGA-PBE calculation of a geometry-optimized SrLi2Cd6 structure, from Alexandria via LeMat-Bulk.

Geometry as POSCAR:
```
SrLi2Cd6
1.0
-1.639 1.754 2.412
-2.844 -7.463 3.493
7.561 3.443 2.636
Sr Li Cd
1 2 6
direct
0.000 0.000 0.000
0.000 0.333 0.667
0.000 0.667 0.333
0.500 0.340 0.340
0.500 0.660 0.660
0.500 0.000 0.660
0.500 0.660 0.000
0.500 0.340 0.000
0.500 0.000 0.340
```

Summary:
uncorrected energy = -1.39 eV per atom
symmetry = P6/mmm
density = 5.8 Mg/m³



The following is a GGA-PBE calculation of a geometry-optimized Li2ErGaSe4 structure, from Alexandria via LeMat-Bulk.

Geometry as POSCAR:
```
Li2ErGaSe4
1.0
-5.582 -0.421 -5.533
0.956 -7.807 -0.308
-1.436 3.674 6.990
Li Er Ga Se
4 2 2 8
direct
0.500 0.000 0.000
0.500 0.000 0.500
0.000 0.000 0.500
0.500 0.500 0.000
0.000 0.500 0.000
0.000 0.500 0.500
0.500 0.500 0.500
0.000 0.000 0.000
0.261 0.752 0.006
0.748 0.239 0.494
0.252 0.761 0.506
0.739 0.248 0.994
0.745 0.755 0.974
0.745 0.755 0.526
0.255 0.245 0.474
0.255 0.245 0.026
```

Summary:
E_form (uncorrected) = -1.182 eV/atom
symmetry = Imma
density = 5.5 Mg/m³



The following is a GGA-PBE calculation of a geometry-optimized Zr5Ge3 structure, from Alexandria via LeMat-Bulk.

Geometry as POSCAR:
```
Zr5Ge3
1.0
8.110 0.000 0.000
-4.055 7.023 0.000
0.000 0.000 5.630
Zr Ge
10 6
direct
0.000 0.746 0.750
0.000 0.254 0.250
0.746 0.746 0.250
0.746 0.000 0.750
0.254 0.254 0.750
0.254 0.000 0.250
0.333 0.667 0.500
0.667 0.333 0.000
0.667 0.333 0.500
0.333 0.667 0.000
0.388 0.000 0.750
0.388 0.388 0.250
0.000 0.612 0.250
0.000 0.388 0.750
0.612 0.612 0.750
0.612 0.000 0.250
```

Summary:
uncorrected energy = -7.88 eV per atom
symmetry = P6_3/mcm
density = 7.0 Mg/m³



The following is a GGA-PBE calculation of a geometry-optimized AcLaAlTl structure, from Alexandria via LeMat-Bulk.

Geometry as POSCAR:
```
AcLaAlTl
1.0
-0.158 5.589 0.709
-4.155 2.343 3.002
1.091 2.230 5.060
Ac Al Tl La
1 1 1 1
direct
0.250 0.250 0.250
0.500 0.500 0.500
0.000 0.000 0.000
0.750 0.750 0.750
```

Summary:
uncorrected energy = -4.09 eV per atom
symmetry = F-43m
density = 7.8 Mg/m³



Among the records above, which one has the highest density? AcLaAlTl